No. 1
# Hf2ZrCd (PBE-GGA, relaxed)
data_Hf2ZrCd
_cell_length_a 6.424
_cell_length_b 4.356
_cell_length_c 7.047
_cell_angle_alpha 90.00
_cell_angle_beta 115.75
_cell_angle_gamma 90.00
_symmetry_space_group_name_H-M 'P 1 m 1'
_symmetry_Int_Tables_number 6
loop_
_symmetry_equiv_pos_as_xyz
'x,y,z'
'x,-y,z'
loop_
_atom_site_label
_atom_site_type_symbol
_atom_site_fract_x
_atom_site_fract_y
_atom_site_fract_z
Hf1 Hf 0.000 0.000 0.000
Hf2 Hf 0.143 0.500 0.766
Hf3 Hf 0.347 0.500 0.254
Hf4 Hf 0.637 0.500 0.781
Zr1 Zr 0.282 0.000 0.527
Zr2 Zr 0.499 0.000 0.026
Cd1 Cd 0.759 0.000 0.514
Cd2 Cd 0.879 0.500 0.274
# Fermi-level density of states = 8.50 states/eV/cell
# magnetization = 0.00 Bohr magnetons per cell
# calculated formation energy = -0.01 eV per atom
# electronic total energy = -58.79 eV for the cell shown

No. 2
# Zr2ScCu (PBE-GGA, relaxed)
data_Zr2ScCu
_cell_length_a 6.836
_cell_length_b 6.836
_cell_length_c 6.836
_cell_angle_alpha 90.00
_cell_angle_beta 90.00
_cell_angle_gamma 90.00
_symmetry_space_group_name_H-M 'F m -3 m'
_symmetry_Int_Tables_number 225
_symmetry_space_group_name_Hall '-F 4 2 3'
loop_
_atom_site_label
_atom_site_type_symbol
_atom_site_fract_x
_atom_site_fract_y
_atom_site_fract_z
Zr1 Zr 0.250 0.250 0.250
Sc1 Sc 0.000 0.000 0.000
Cu1 Cu 0.000 0.000 0.500
# Fermi-level density of states = 29.76 states/eV/cell
# energy relative to the lowest polymorph listed for this composition = 105 kJ/mol of formula units
# magnetization = 0.00 Bohr magnetons per cell
# calculated formation energy = 0.16 eV per atom
# electronic total energy = -107.56 eV for the cell shown

No. 3
# FeC3N (PBE-GGA, relaxed)
data_FeC3N
_cell_length_a 3.346
_cell_length_b 3.346
_cell_length_c 3.346
_cell_angle_alpha 90.00
_cell_angle_beta 90.00
_cell_angle_gamma 90.00
_symmetry_space_group_name_H-M 'P m -3 m'
_symmetry_Int_Tables_number 221
_symmetry_space_group_name_Hall '-P 4 2 3'
loop_
_atom_site_label
_atom_site_type_symbol
_atom_site_fract_x
_atom_site_fract_y
_atom_site_fract_z
Fe1 Fe 0.000 0.000 0.000
C1 C 0.000 0.500 0.500
N1 N 0.500 0.500 0.500
# Fermi-level density of states = 6.50 states/eV/cell
# energy relative to the lowest polymorph listed for this composition = 151 kJ/mol of formula units
# magnetization = 0.00 Bohr magnetons per cell
# formation energy from raw total energies = 3120 meV per atom
# electronic total energy = -28.86 eV for the cell shown

> Look up the electronic total energy of the first one.

-58.79 eV for the cell shown

Please write out number 3 again, unchanged.
# FeC3N (PBE-GGA, relaxed)
data_FeC3N
_cell_length_a 3.346
_cell_length_b 3.346
_cell_length_c 3.346
_cell_angle_alpha 90.00
_cell_angle_beta 90.00
_cell_angle_gamma 90.00
_symmetry_space_group_name_H-M 'P m -3 m'
_symmetry_Int_Tables_number 221
_symmetry_space_group_name_Hall '-P 4 2 3'
loop_
_atom_site_label
_atom_site_type_symbol
_atom_site_fract_x
_atom_site_fract_y
_atom_site_fract_z
Fe1 Fe 0.000 0.000 0.000
C1 C 0.000 0.500 0.500
N1 N 0.500 0.500 0.500
# Fermi-level density of states = 6.50 states/eV/cell
# energy relative to the lowest polymorph listed for this composition = 151 kJ/mol of formula units
# magnetization = 0.00 Bohr magnetons per cell
# formation energy from raw total energies = 3120 meV per atom
# electronic total energy = -28.86 eV for the cell shown